VASP calculation (PBE-GGA) on a relaxed structure of Nd2Y7Ho12.

spin magnetization: 0.00 μB/atom
crystal system: hexagonal
SG: P-6 (174)
formation enthalpy at 0 K: 0.18 eV per atom

a = 5.550 Å, b = 12.120 Å, c = 12.120 Å
α = 120.00°, β = 90.00°, γ = 90.00°
Fractional positions:
1 Nd 0.500 0.000 0.000
2 Nd 0.000 0.667 0.333
3 Y 0.000 0.333 0.667
4 Y 0.000 0.175 0.849
5 Y 0.000 0.674 0.825
6 Y 0.000 0.151 0.326
7 Y 0.500 0.672 0.512
8 Y 0.500 0.840 0.328
9 Y 0.500 0.488 0.160
10 Ho 0.500 0.006 0.673
11 Ho 0.500 0.667 0.994
12 Ho 0.500 0.327 0.333
13 Ho 0.500 0.340 0.834
14 Ho 0.500 0.494 0.660
15 Ho 0.500 0.166 0.506
16 Ho 0.000 0.000 0.512
17 Ho 0.000 0.512 0.000
18 Ho 0.000 0.488 0.488
19 Ho 0.000 0.853 0.696
20 Ho 0.000 0.843 0.147
21 Ho 0.000 0.304 0.157

VASP calculation (PBE-GGA) on a relaxed structure of La2YAg.

spin magnetization: 0.00 μB/atom
crystal system: trigonal
energy relative to the lowest polymorph listed for this composition: 0.1122 eV/atom
SG: R3m (160)
formation enthalpy at 0 K: -0.01 eV per atom

a = 10.940 Å, b = 10.940 Å, c = 10.940 Å
α = 19.43°, β = 19.43°, γ = 19.43°
Fractional positions:
1 Ag 0.753 0.753 0.753
2 La 0.009 0.009 0.009
3 La 0.249 0.249 0.249
4 Y 0.489 0.489 0.489

VASP calculation (PBE-GGA) on a relaxed structure of LuTiCuRh.

spin magnetization: 0.00 μB/atom
crystal system: cubic
SG: F-43m (216)
formation enthalpy at 0 K: -0.45 eV per atom

a = 4.586 Å, b = 4.586 Å, c = 4.586 Å
α = 60.00°, β = 60.00°, γ = 60.00°
Fractional positions:
1 Lu 0.750 0.750 0.750
2 Rh 0.500 0.500 0.500
3 Cu 0.000 0.000 0.000
4 Ti 0.250 0.250 0.250

VASP calculation (PBE-GGA) on a relaxed structure of Th2NbGa2Ru5.

spin magnetization: 0.00 μB/atom
crystal system: tetragonal
SG: P4/mbm (127)
formation enthalpy at 0 K: -0.40 eV per atom

a = 3.420 Å, b = 10.237 Å, c = 10.237 Å
α = 90.00°, β = 90.00°, γ = 90.00°
Fractional positions:
1 Th 0.000 0.673 0.173
2 Th 0.000 0.327 0.827
3 Th 0.000 0.173 0.327
4 Th 0.000 0.827 0.673
5 Nb 0.000 0.000 0.000
6 Nb 0.000 0.500 0.500
7 Ga 0.000 0.125 0.625
8 Ga 0.000 0.875 0.375
9 Ga 0.000 0.625 0.875
10 Ga 0.000 0.375 0.125
11 Ru 0.500 0.203 0.067
12 Ru 0.500 0.797 0.933
13 Ru 0.500 0.067 0.797
14 Ru 0.500 0.703 0.433
15 Ru 0.500 0.933 0.203
16 Ru 0.500 0.297 0.567
17 Ru 0.500 0.567 0.703
18 Ru 0.500 0.433 0.297
19 Ru 0.500 0.500 0.000
20 Ru 0.500 0.000 0.500

VASP calculation (PBE-GGA) on a relaxed structure of Dy3ErPu3Te8.

spin magnetization: 0.40 μB/atom
crystal system: monoclinic
SG: C2/m (12)
raw formation energy: -121.4 kJ per mole of atoms

a = 8.764 Å, b = 8.764 Å, c = 8.771 Å
α = 119.90°, β = 89.94°, γ = 120.15°
Last column: magnetic moment on the atom in μB.
Fractional positions:
1 Dy 0.500 0.000 0.500  0.01
2 Dy 0.500 0.500 0.500  0.03
3 Dy 0.000 0.500 0.500  0.01
4 Er 0.000 0.000 0.500  0.03
5 Pu 0.000 0.000 0.000  5.51
6 Pu 0.000 0.500 0.000  -5.48
7 Pu 0.500 0.500 0.000  5.51
8 Te 0.252 0.503 0.255  -0.01
9 Te 0.748 0.497 0.745  -0.01
10 Te 0.749 0.498 0.254  0.00
11 Te 0.251 0.502 0.746  0.00
12 Te 0.749 0.004 0.253  -0.04
13 Te 0.251 0.996 0.747  -0.04
14 Te 0.256 0.005 0.254  0.00
15 Te 0.744 0.995 0.746  0.00

VASP calculation (PBE-GGA) on a relaxed structure of Ce2HoPb.

spin magnetization: 0.00 μB/atom
crystal system: monoclinic
energy relative to the lowest polymorph listed for this composition: 0.0000 eV/atom
SG: P2_1/m (11)
formation enthalpy at 0 K: -0.28 eV per atom

a = 4.495 Å, b = 4.384 Å, c = 11.568 Å
α = 90.00°, β = 99.85°, γ = 90.00°
Fractional positions:
1 Ce 0.603 0.250 0.114
2 Ce 0.397 0.750 0.886
3 Ce 0.998 0.750 0.116
4 Ce 0.002 0.250 0.884
5 Ho 0.694 0.750 0.387
6 Ho 0.306 0.250 0.613
7 Pb 0.179 0.250 0.335
8 Pb 0.821 0.750 0.665

VASP calculation (PBE-GGA) on a relaxed structure of Pu5Ni.

spin magnetization: 0.48 μB/atom
crystal system: orthorhombic
SG: Cmmm (65)
formation enthalpy at 0 K: 0.23 eV per atom

a = 4.928 Å, b = 3.987 Å, c = 5.955 Å
α = 109.56°, β = 90.00°, γ = 90.00°
Last column: magnetic moment on the atom in μB.
Fractional positions:
1 Ni 0.000 0.000 0.000  0.22
2 Pu 0.500 0.860 0.720  4.06
3 Pu 0.000 0.691 0.381  -1.24
4 Pu 0.500 0.500 0.000  -2.98
5 Pu 0.000 0.309 0.619  -1.24
6 Pu 0.500 0.140 0.280  4.06

VASP calculation (PBE-GGA) on a relaxed structure of CsRbMgBr4.

spin magnetization: 0.00 μB/atom
crystal system: monoclinic
SG: P2_1/m (11)
raw formation energy: -161.4 kJ per mole of atoms

a = 7.920 Å, b = 7.768 Å, c = 10.072 Å
α = 90.00°, β = 108.72°, γ = 90.00°
Fractional positions:
1 Cs 0.713 0.750 0.927
2 Cs 0.287 0.250 0.073
3 Rb 0.782 0.750 0.450
4 Rb 0.218 0.250 0.550
5 Mg 0.222 0.750 0.303
6 Mg 0.778 0.250 0.697
7 Br 0.993 0.500 0.752
8 Br 0.007 0.000 0.248
9 Br 0.007 0.500 0.248
10 Br 0.993 0.000 0.752
11 Br 0.413 0.750 0.147
12 Br 0.587 0.250 0.853
13 Br 0.399 0.750 0.558
14 Br 0.601 0.250 0.442

VASP calculation (PBE-GGA) on a relaxed structure of LaTlSi2As.

spin magnetization: 0.00 μB/atom
crystal system: tetragonal
SG: P4/mmm (123)
raw formation energy: 33.4 kJ per mole of atoms

a = 4.928 Å, b = 5.404 Å, c = 4.928 Å
α = 90.00°, β = 90.00°, γ = 90.00°
Fractional positions:
1 Tl 0.000 0.500 0.000
2 Si 0.000 0.000 0.500
3 Si 0.500 0.000 0.000
4 As 0.000 0.000 0.000
5 La 0.500 0.500 0.500

VASP calculation (PBE-GGA) on a relaxed structure of LiSmCl6.

spin magnetization: 0.26 μB/atom
crystal system: cubic
SG: Fm-3m (225)
raw formation energy: -123.9 kJ per mole of atoms

a = 7.369 Å, b = 7.369 Å, c = 7.369 Å
α = 60.00°, β = 60.00°, γ = 60.00°
Last column: magnetic moment on the atom in μB.
Fractional positions:
1 Li 0.000 0.000 0.000  0.00
2 Sm 0.500 0.500 0.500  -0.03
3 Cl 0.759 0.759 0.241  0.27
4 Cl 0.759 0.241 0.241  0.27
5 Cl 0.241 0.759 0.759  0.27
6 Cl 0.241 0.241 0.759  0.27
7 Cl 0.241 0.759 0.241  0.27
8 Cl 0.759 0.241 0.759  0.27

VASP calculation (PBE-GGA) on a relaxed structure of Nb3RuC.

spin magnetization: 0.00 μB/atom
crystal system: cubic
energy relative to the lowest polymorph listed for this composition: 2.2972 eV/atom
SG: Pm-3m (221)
formation enthalpy at 0 K: 2.18 eV per atom

a = 4.767 Å, b = 4.767 Å, c = 4.767 Å
α = 90.00°, β = 90.00°, γ = 90.00°
Fractional positions:
1 Ru 0.000 0.000 0.000
2 Nb 0.000 0.500 0.000
3 Nb 0.000 0.000 0.500
4 Nb 0.500 0.000 0.000
5 C 0.500 0.500 0.500

VASP calculation (PBE-GGA) on a relaxed structure of RbGdH2S2O9.

spin magnetization: 0.47 μB/atom
crystal system: monoclinic
SG: P2_1/c (14)
electronic total energy: -6.846 eV per atom

a = 8.465 Å, b = 10.386 Å, c = 10.790 Å
α = 117.78°, β = 90.00°, γ = 90.00°
Last column: magnetic moment on the atom in μB.
Fractional positions:
1 Rb 0.808 0.768 0.286  0.00
2 Rb 0.308 0.232 0.214  0.00
3 Rb 0.192 0.232 0.714  0.00
4 Rb 0.692 0.768 0.786  0.00
5 Gd 0.351 0.753 0.485  6.93
6 Gd 0.851 0.247 0.015  6.93
7 Gd 0.649 0.247 0.515  6.93
8 Gd 0.149 0.753 0.985  6.93
9 H 0.048 0.763 0.618  0.00
10 H 0.548 0.237 0.882  0.00
11 H 0.952 0.237 0.382  0.00
12 H 0.452 0.763 0.118  0.00
13 H 0.009 0.633 0.473  0.00
14 H 0.509 0.367 0.027  0.00
15 H 0.991 0.367 0.527  0.00
16 H 0.491 0.633 0.973  0.00
17 S 0.188 0.510 0.133  0.00
18 S 0.688 0.490 0.367  0.00
19 S 0.812 0.490 0.867  0.00
20 S 0.312 0.510 0.633  0.00
21 S 0.339 0.959 0.344  0.00
22 S 0.839 0.041 0.156  0.00
23 S 0.661 0.041 0.656  0.00
24 S 0.161 0.959 0.844  0.00
25 O 0.073 0.722 0.517  0.00
26 O 0.573 0.278 0.983  0.00
27 O 0.927 0.278 0.483  0.00
28 O 0.427 0.722 0.017  0.00
29 O 0.309 0.443 0.024  -0.01
30 O 0.809 0.557 0.476  -0.01
31 O 0.108 0.633 0.121  0.00
32 O 0.691 0.557 0.976  -0.01
33 O 0.046 0.835 0.802  0.00
34 O 0.546 0.165 0.698  0.00
35 O 0.954 0.165 0.198  0.00
36 O 0.454 0.835 0.302  0.00
37 O 0.078 0.101 0.900  0.00
38 O 0.578 0.899 0.600  0.00
39 O 0.922 0.899 0.100  0.00
40 O 0.422 0.101 0.400  0.00
41 O 0.258 0.941 0.722  0.00
42 O 0.758 0.059 0.778  0.00
43 O 0.742 0.059 0.278  0.00
44 O 0.242 0.941 0.222  0.00
45 O 0.262 0.953 0.956  0.00
46 O 0.762 0.047 0.544  0.00
47 O 0.738 0.047 0.044  0.00
48 O 0.238 0.953 0.456  0.00
49 O 0.431 0.400 0.623  0.00
50 O 0.931 0.600 0.877  0.00
51 O 0.569 0.600 0.377  0.00
52 O 0.069 0.400 0.123  0.00
53 O 0.241 0.569 0.776  0.00
54 O 0.741 0.431 0.724  0.00
55 O 0.759 0.431 0.224  0.00
56 O 0.259 0.569 0.276  0.00
57 O 0.392 0.633 0.621  0.00
58 O 0.892 0.367 0.879  0.00
59 O 0.608 0.367 0.379  0.00
60 O 0.191 0.443 0.524  -0.01

VASP calculation (PBE-GGA) on a relaxed structure of AcZnSnAu6.

spin magnetization: 0.00 μB/atom
crystal system: orthorhombic
SG: Imma (74)
formation enthalpy at 0 K: -0.19 eV per atom

a = 5.874 Å, b = 9.323 Å, c = 9.584 Å
α = 119.10°, β = 107.85°, γ = 90.00°
Fractional positions:
1 Ac 0.923 0.673 0.846
2 Ac 0.077 0.327 0.154
3 Zn 0.500 0.000 0.500
4 Zn 0.000 0.000 0.500
5 Sn 0.500 0.500 0.000
6 Sn 0.500 0.000 0.000
7 Au 0.296 0.546 0.591
8 Au 0.886 0.136 0.772
9 Au 0.901 0.151 0.316
10 Au 0.415 0.665 0.316
11 Au 0.415 0.151 0.316
12 Au 0.901 0.665 0.316
13 Au 0.704 0.454 0.409
14 Au 0.114 0.864 0.228
15 Au 0.099 0.849 0.684
16 Au 0.585 0.335 0.684
17 Au 0.585 0.849 0.684
18 Au 0.099 0.335 0.684

VASP calculation (PBE-GGA) on a relaxed structure of ZrIN2Cl.

spin magnetization: 0.00 μB/atom
crystal system: tetragonal
energy relative to the lowest polymorph listed for this composition: 0.0000 eV/atom
SG: P4/mmm (123)
raw formation energy: 46.7 kJ per mole of atoms

a = 4.177 Å, b = 4.177 Å, c = 6.434 Å
α = 90.00°, β = 90.00°, γ = 90.00°
Fractional positions:
1 I 0.000 0.000 0.500
2 N 0.000 0.500 0.000
3 N 0.500 0.000 0.000
4 Zr 0.000 0.000 0.000
5 Cl 0.500 0.500 0.500

VASP calculation (PBE-GGA) on a relaxed structure of PrCdGaAg.

spin magnetization: 0.00 μB/atom
crystal system: cubic
SG: F-43m (216)
formation enthalpy at 0 K: -0.35 eV per atom

a = 5.027 Å, b = 5.027 Å, c = 5.027 Å
α = 60.00°, β = 60.00°, γ = 60.00°
Fractional positions:
1 Pr 0.250 0.250 0.250
2 Ga 0.500 0.500 0.500
3 Ag 0.000 0.000 0.000
4 Cd 0.750 0.750 0.750

VASP calculation (PBE-GGA) on a relaxed structure of Pm2Sm2Th.

spin magnetization: 0.00 μB/atom
crystal system: trigonal
energy relative to the lowest polymorph listed for this composition: 0.0000 eV/atom
SG: R-3m (166)
formation enthalpy at 0 K: 0.01 eV per atom

a = 3.648 Å, b = 3.648 Å, c = 14.770 Å
α = 82.91°, β = 82.91°, γ = 60.00°
Fractional positions:
1 Pm 0.867 0.867 0.400
2 Pm 0.133 0.133 0.600
3 Sm 0.398 0.398 0.807
4 Sm 0.602 0.602 0.193
5 Th 0.000 0.000 0.000

VASP calculation (PBE-GGA) on a relaxed structure of Tm4ThSb2.

spin magnetization: 0.00 μB/atom
crystal system: tetragonal
SG: I4/mmm (139)
raw formation energy: 49.7 kJ per mole of atoms

a = 5.479 Å, b = 5.479 Å, c = 8.994 Å
α = 107.73°, β = 107.73°, γ = 90.00°
Fractional positions:
1 Tm 0.811 0.811 0.621
2 Tm 0.189 0.189 0.379
3 Tm 0.000 0.500 0.000
4 Tm 0.500 0.000 0.000
5 Th 0.000 0.000 0.000
6 Sb 0.627 0.627 0.254
7 Sb 0.373 0.373 0.746

VASP calculation (PBE-GGA) on a relaxed structure of AlGaBi.

spin magnetization: 0.00 μB/atom
crystal system: orthorhombic
energy relative to the lowest polymorph listed for this composition: 0.0719 eV/atom
SG: Amm2 (38)
formation enthalpy at 0 K: 0.17 eV per atom

a = 3.568 Å, b = 3.383 Å, c = 14.095 Å
α = 90.00°, β = 90.00°, γ = 121.83°
Fractional positions:
1 Ga 0.478 0.957 0.000
2 Ga 0.404 0.807 0.500
3 Bi 0.762 0.524 0.302
4 Bi 0.762 0.524 0.698
5 Al 0.131 0.261 0.868
6 Al 0.131 0.261 0.132

VASP calculation (PBE-GGA) on a relaxed structure of Ac6Sn2Te3Se.

spin magnetization: 0.00 μB/atom
crystal system: monoclinic
SG: C2/m (12)
raw formation energy: -128.8 kJ per mole of atoms

a = 4.757 Å, b = 9.474 Å, c = 10.633 Å
α = 103.45°, β = 102.93°, γ = 90.00°
Fractional positions:
1 Ac 0.338 0.912 0.676
2 Ac 0.669 0.575 0.339
3 Ac 0.662 0.088 0.324
4 Ac 0.003 0.240 0.005
5 Ac 0.997 0.760 0.995
6 Ac 0.331 0.425 0.661
7 Sn 0.835 0.672 0.671
8 Sn 0.165 0.328 0.329
9 Te 0.500 0.500 0.000
10 Te 0.833 0.167 0.666
11 Te 0.167 0.833 0.334
12 Se 0.500 0.000 0.000

VASP calculation (PBE-GGA) on a relaxed structure of Ba3Tl2Cd2Au4.

spin magnetization: 0.00 μB/atom
crystal system: trigonal
SG: P-3m1 (164)
formation enthalpy at 0 K: -0.47 eV per atom

a = 5.043 Å, b = 5.043 Å, c = 15.591 Å
α = 90.00°, β = 90.00°, γ = 120.00°
Fractional positions:
1 Ba 0.000 0.000 0.724
2 Ba 0.000 0.000 0.000
3 Ba 0.000 0.000 0.276
4 Tl 0.667 0.333 0.429
5 Tl 0.333 0.667 0.571
6 Cd 0.667 0.333 0.859
7 Cd 0.333 0.667 0.141
8 Au 0.667 0.333 0.135
9 Au 0.333 0.667 0.865
10 Au 0.667 0.333 0.615
11 Au 0.333 0.667 0.385

Number 1: DOS(E_F) 1.650 states/eV/atom. Number 2: DOS(E_F) 1.734 states/eV/atom. Number 3: DOS(E_F) 0.936 states/eV/atom. Number 4: DOS(E_F) 0.500 states/eV/atom. Number 5: DOS(E_F) 2.735 states/eV/atom. Number 6: DOS(E_F) 1.865 states/eV/atom. Number 7: DOS(E_F) 2.844 states/eV/atom. Number 8: DOS(E_F) 0.000 states/eV/atom. Number 9: DOS(E_F) 0.529 states/eV/atom. Number 10: DOS(E_F) 1.564 states/eV/atom. Number 11: DOS(E_F) 1.218 states/eV/atom. Number 12: DOS(E_F) 0.000 states/eV/atom. Number 13: DOS(E_F) 0.380 states/eV/atom. Number 14: DOS(E_F) 0.614 states/eV/atom. Number 15: DOS(E_F) 0.407 states/eV/atom. Number 16: DOS(E_F) 1.389 states/eV/atom. Number 17: DOS(E_F) 0.978 states/eV/atom. Number 18: DOS(E_F) 0.309 states/eV/atom. Number 19: DOS(E_F) 0.383 states/eV/atom. Number 20: DOS(E_F) 0.655 states/eV/atom.